Record 1
Computed, not measured: a geometry-optimized NaNb2Co structure at the PBE level of DFT.

abc: 7.318 7.318 5.861
angles: 51.37 51.37 90.00
Fractional coordinates of all 8 atoms:
Nb (0.064, 0.625, 0.250)
Nb (0.875, 0.936, 0.750)
Na (0.250, 0.750, 0.500)
Co (0.000, 0.000, 0.000)
Co (0.750, 0.250, 0.500)
Nb (0.375, 0.314, 0.750)
Na (0.500, 0.500, 0.000)
Nb (0.686, 0.125, 0.250)

Energy above the lowest structure with this stoichiometry (eV/atom): 0.008
Energy of formation from the pure elements (meV/atom): 774.7

***

Record 2
Computed, not measured: a geometry-optimized NaNb3Co structure at the PBE level of DFT.

abc: 4.698 4.698 4.698
angles: 90.00 90.00 90.00
Fractional coordinates of all 5 atoms:
Nb (0.500, 0.000, 0.000)
Co (0.000, 0.000, 0.000)
Na (0.500, 0.500, 0.500)
Nb (0.000, 0.500, 0.000)
Nb (0.000, 0.000, 0.500)

Energy above the lowest structure with this stoichiometry (eV/atom): 0.000
Energy of formation from the pure elements (meV/atom): 899.0

***

Record 3
Computed, not measured: a geometry-optimized Na2NbCo structure at the PBE level of DFT.

abc: 4.755 4.755 4.755
angles: 60.00 60.00 60.00
Each line ends with the local moment (μB).
Fractional coordinates of all 4 atoms:
Na (0.250, 0.250, 0.250)  0.00
Nb (0.500, 0.500, 0.500)  0.16
Na (0.750, 0.750, 0.750)  0.00
Co (0.000, 0.000, 0.000)  1.69

Energy above the lowest structure with this stoichiometry (eV/atom): 0.287
Energy of formation from the pure elements (meV/atom): 1486.0

***

Q: The highest energy of formation from the pure elements belongs to which entry?
A: Na2NbCo

***

Q: Which value of energy above the lowest structure with this stoichiometry does entry 2 give?
A: 0.000 eV/atom

***

What did the first record say?
Computed, not measured: a geometry-optimized NaNb2Co structure at the PBE level of DFT.

abc: 7.318 7.318 5.861
angles: 51.37 51.37 90.00
Fractional coordinates of all 8 atoms:
Nb (0.064, 0.625, 0.250)
Nb (0.875, 0.936, 0.750)
Na (0.250, 0.750, 0.500)
Co (0.000, 0.000, 0.000)
Co (0.750, 0.250, 0.500)
Nb (0.375, 0.314, 0.750)
Na (0.500, 0.500, 0.000)
Nb (0.686, 0.125, 0.250)

Energy above the lowest structure with this stoichiometry (eV/atom): 0.008
Energy of formation from the pure elements (meV/atom): 774.7

***

Q: Which value of energy of formation from the pure elements does entry 3 give?
A: 1486.0 meV/atom